Entry 1:
Below is a relaxed structure of SrCdHg, with properties calculated at the PBE level.

abc: 5.0516 5.0516 4.0608
angles: 90.00 90.00 120.00
Element x y z (fractional)
Sr (0.3333, 0.6667, 0.6668)
Hg (0.6667, 0.3333, 0.1670)
Cd (0.0000, 0.0000, 0.1662)

Entry 2:
Below is a relaxed structure of SrCd6Hg12, with properties calculated at the PBE level.

Output
The energy above the most stable polymorph in this dataset is 0 meV per atom.

abc: 8.1024 8.4712 9.1537
angles: 79.12 66.99 112.46
Element x y z (fractional)
Sr (0.0000, 0.0000, 0.0000)
Cd (0.4617, 0.5216, 0.2151)
Cd (0.0212, 0.6700, 0.5483)
Cd (0.3400, 0.7591, 0.7254)
Cd (0.5383, 0.4784, 0.7849)
Cd (0.9788, 0.3300, 0.4517)
Cd (0.6600, 0.2409, 0.2746)
Hg (0.4910, 0.8455, 0.3184)
Hg (0.6797, 0.8488, 0.8397)
Hg (0.7591, 0.2194, 0.8857)
Hg (0.5090, 0.1545, 0.6816)
Hg (0.3203, 0.1512, 0.1603)
Hg (0.2409, 0.7806, 0.1143)
Hg (0.2450, 0.4190, 0.6293)
Hg (0.1252, 0.4057, 0.0658)
Hg (0.1772, 0.0558, 0.5613)
Hg (0.7550, 0.5810, 0.3707)
Hg (0.8748, 0.5943, 0.9342)
Hg (0.8228, 0.9442, 0.4387)

Entry 3:
Below is a relaxed structure of SrCd12Hg7, with properties calculated at the PBE level.

Output
The energy above the most stable polymorph in this dataset is 129 meV per atom.

abc: 9.3705 9.3705 9.3705
angles: 109.47 109.47 109.47
Element x y z (fractional)
Sr (0.0000, 0.0000, 0.0000)
Cd (0.2820, 0.1606, 0.4427)
Cd (0.2820, 0.8394, 0.1214)
Cd (0.7180, 0.8394, 0.5573)
Cd (0.7180, 0.1606, 0.8786)
Cd (0.4427, 0.2820, 0.1606)
Cd (0.8786, 0.7180, 0.1606)
Cd (0.5573, 0.7180, 0.8394)
Cd (0.1214, 0.2820, 0.8394)
Cd (0.8394, 0.1214, 0.2820)
Cd (0.1606, 0.8786, 0.7180)
Cd (0.1606, 0.4427, 0.2820)
Cd (0.8394, 0.5573, 0.7180)
Hg (0.5000, 0.0000, 0.5000)
Hg (0.5000, 0.5000, 0.0000)
Hg (0.0000, 0.5000, 0.5000)
Hg (0.0000, 0.0000, 0.5000)
Hg (0.5000, 0.0000, 0.0000)
Hg (0.5000, 0.5000, 0.5000)
Hg (0.0000, 0.5000, 0.0000)

Entry 4:
Below is a relaxed structure of SrCd4Hg4, with properties calculated at the PBE level.

Output
The energy above the most stable polymorph in this dataset is 0 meV per atom.

abc: 4.4266 7.5602 7.5602
angles: 85.08 72.98 72.98
Element x y z (fractional)
Sr (0.0000, 0.0000, 0.0000)
Cd (0.0001, 0.6569, 0.3429)
Cd (0.9999, 0.3431, 0.6571)
Cd (0.6570, 0.3429, 0.3431)
Cd (0.3430, 0.6571, 0.6569)
Hg (0.3268, 0.3465, 0.9998)
Hg (0.6732, 0.6535, 0.0002)
Hg (0.6734, 0.9998, 0.6535)
Hg (0.3266, 0.0002, 0.3465)

no.,energy of formation from the pure elements (eV/f.u.)
1,-1.28
2,-1.49
3,1.85
4,-1.39